(1)
Computed, not measured: an optimized crystal structure of CoNiAg2 at the PBE level of DFT.

Cell: 7.0255 7.0255 5.2275 Å, 90.00 90.00 90.00°
Fractional coordinates of all 16 atoms:
Co  0.0000  0.0000  0.0000
Co  0.0000  0.5000  0.2500
Co  0.5000  0.0000  0.7500
Co  0.5000  0.5000  0.5000
Ni  0.0000  0.0000  0.5000
Ni  0.0000  0.5000  0.7500
Ni  0.5000  0.0000  0.2500
Ni  0.5000  0.5000  0.0000
Ag  0.2476  0.7500  0.6250
Ag  0.2500  0.2476  0.3750
Ag  0.2500  0.2524  0.8750
Ag  0.2524  0.7500  0.1250
Ag  0.7476  0.2500  0.1250
Ag  0.7500  0.7476  0.8750
Ag  0.7500  0.7524  0.3750
Ag  0.7524  0.2500  0.6250

Values from the calculation:
Calculated volume   64.5 Å³/f.u.
Energy relative to the elements   0.763 eV per atom

(2)
Computed, not measured: an optimized crystal structure of Co4NiAg at the PBE level of DFT.

Cell: 4.7406 4.7406 4.7406 Å, 60.00 60.00 60.00°
Fractional coordinates of all 6 atoms:
Co  0.1254  0.1254  0.1254
Co  0.1254  0.1254  0.6238
Co  0.1254  0.6238  0.1254
Co  0.6238  0.1254  0.1254
Ni  0.5000  0.5000  0.5000
Ag  0.7500  0.7500  0.7500

Values from the calculation:
Calculated volume   75.3 Å³/f.u.
Energy relative to the elements   0.299 eV per atom

(3)
Computed, not measured: an optimized crystal structure of Co2NiAg at the PBE level of DFT.

Cell: 2.6542 2.6542 7.2244 Å, 90.00 90.00 90.00°
Fractional coordinates of all 4 atoms:
Co  0.0000  0.0000  0.0000
Co  0.5000  0.5000  0.2125
Ni  0.0000  0.0000  0.4345
Ag  0.5000  0.5000  0.7140

Values from the calculation:
Calculated volume   50.9 Å³/f.u.
Energy relative to the elements   0.209 eV per atom

(4)
Computed, not measured: an optimized crystal structure of CoNiAg2 at the PBE level of DFT.

Cell: 9.3210 2.7296 4.7376 Å, 90.00 104.93 90.00°
Fractional coordinates of all 8 atoms:
Co  0.0000  0.0000  0.0000
Co  0.5000  0.5000  0.0000
Ni  0.2132  0.5000  0.2233
Ni  0.7132  0.0000  0.2233
Ag  0.2408  0.0000  0.7511
Ag  0.4701  0.0000  0.4706
Ag  0.7408  0.5000  0.7511
Ag  0.9701  0.5000  0.4706

Values from the calculation:
Calculated volume   58.2 Å³/f.u.
Energy relative to the elements   0.342 eV per atom

(5)
Computed, not measured: an optimized crystal structure of Co2NiAg at the PBE level of DFT.

Cell: 2.6937 4.4198 8.6664 Å, 90.00 90.00 90.00°
Fractional coordinates of all 8 atoms:
Co  0.0000  0.0000  0.0000
Co  0.0000  0.5000  0.2764
Co  0.5000  0.0000  0.7764
Co  0.5000  0.5000  0.5000
Ni  0.0000  0.5000  0.7345
Ni  0.5000  0.0000  0.2345
Ag  0.0000  0.0000  0.5045
Ag  0.5000  0.5000  0.0045

Values from the calculation:
Calculated volume   51.6 Å³/f.u.
Energy relative to the elements   0.352 eV per atom

(6)
Computed, not measured: an optimized crystal structure of Co2NiAg at the PBE level of DFT.

Cell: 8.6622 2.6216 4.5778 Å, 90.00 100.46 90.00°
Fractional coordinates of all 8 atoms:
Co  0.2411  0.0000  0.2198
Co  0.2589  0.5000  0.7802
Co  0.7411  0.5000  0.2198
Co  0.7589  0.0000  0.7802
Ni  0.0000  0.5000  0.0000
Ni  0.5000  0.0000  0.0000
Ag  0.0000  0.0000  0.5000
Ag  0.5000  0.5000  0.5000

Values from the calculation:
Calculated volume   51.1 Å³/f.u.
Energy relative to the elements   0.302 eV per atom

(7)
Computed, not measured: an optimized crystal structure of CoNiAg2 at the PBE level of DFT.

Cell: 2.7272 2.7272 27.0354 Å, 90.00 90.00 120.00°
Fractional coordinates of all 12 atoms:
Co  0.0000  0.0000  0.0000
Co  0.3333  0.6667  0.6667
Co  0.6667  0.3333  0.3333
Ni  0.0000  0.0000  0.5000
Ni  0.3333  0.6667  0.1667
Ni  0.6667  0.3333  0.8333
Ag  0.0000  0.0000  0.2489
Ag  0.0000  0.0000  0.7511
Ag  0.3333  0.6667  0.4177
Ag  0.3333  0.6667  0.9156
Ag  0.6667  0.3333  0.0844
Ag  0.6667  0.3333  0.5823

Values from the calculation:
Calculated volume   58.0 Å³/f.u.
Energy relative to the elements   0.370 eV per atom

(8)
Computed, not measured: an optimized crystal structure of CoNiAg2 at the PBE level of DFT.

Cell: 3.8594 3.8594 7.7739 Å, 90.00 90.00 90.00°
Fractional coordinates of all 8 atoms:
Co  0.0000  0.0000  0.0000
Co  0.5000  0.5000  0.5000
Ni  0.0000  0.5000  0.7500
Ni  0.5000  0.0000  0.2500
Ag  0.0000  0.0000  0.5000
Ag  0.0000  0.5000  0.2500
Ag  0.5000  0.0000  0.7500
Ag  0.5000  0.5000  0.0000

Values from the calculation:
Calculated volume   57.9 Å³/f.u.
Energy relative to the elements   0.400 eV per atom

(9)
Computed, not measured: an optimized crystal structure of CoNiAg2 at the PBE level of DFT.

Cell: 6.1768 6.1768 6.1768 Å, 90.00 90.00 90.00°
Fractional coordinates of all 16 atoms:
Co  0.0000  0.0000  0.0000
Co  0.0000  0.5000  0.5000
Co  0.5000  0.0000  0.5000
Co  0.5000  0.5000  0.0000
Ni  0.2500  0.2500  0.2500
Ni  0.2500  0.7500  0.7500
Ni  0.7500  0.2500  0.7500
Ni  0.7500  0.7500  0.2500
Ag  0.0000  0.0000  0.5000
Ag  0.0000  0.5000  0.0000
Ag  0.2500  0.2500  0.7500
Ag  0.2500  0.7500  0.2500
Ag  0.5000  0.0000  0.0000
Ag  0.5000  0.5000  0.5000
Ag  0.7500  0.2500  0.2500
Ag  0.7500  0.7500  0.7500

Values from the calculation:
Calculated volume   58.9 Å³/f.u.
Energy relative to the elements   0.444 eV per atom

(10)
Computed, not measured: an optimized crystal structure of CoNiAg2 at the PBE level of DFT.

Cell: 2.7721 2.7721 7.5539 Å, 90.00 90.00 90.00°
Fractional coordinates of all 4 atoms:
Co  0.0000  0.0000  0.0000
Ni  0.5000  0.5000  0.1843
Ag  0.0000  0.0000  0.4416
Ag  0.5000  0.5000  0.7382

Values from the calculation:
Calculated volume   58.0 Å³/f.u.
Energy relative to the elements   0.208 eV per atom

(11)
Computed, not measured: an optimized crystal structure of Co2NiAg at the PBE level of DFT.

Cell: 3.7333 3.7333 7.2714 Å, 90.00 90.00 90.00°
Fractional coordinates of all 8 atoms:
Co  0.0000  0.0000  0.0000
Co  0.0000  0.5000  0.2500
Co  0.5000  0.0000  0.7500
Co  0.5000  0.5000  0.5000
Ni  0.0000  0.5000  0.7500
Ni  0.5000  0.0000  0.2500
Ag  0.0000  0.0000  0.5000
Ag  0.5000  0.5000  0.0000

Values from the calculation:
Calculated volume   50.7 Å³/f.u.
Energy relative to the elements   0.326 eV per atom

(12)
Computed, not measured: an optimized crystal structure of CoNiAg2 at the PBE level of DFT.

Cell: 9.1054 2.7194 4.7726 Å, 90.00 99.38 90.00°
Fractional coordinates of all 8 atoms:
Co  0.0000  0.0000  0.0000
Co  0.5000  0.5000  0.0000
Ni  0.0000  0.5000  0.5000
Ni  0.5000  0.0000  0.5000
Ag  0.2493  0.0000  0.7493
Ag  0.2507  0.5000  0.2507
Ag  0.7493  0.5000  0.7493
Ag  0.7507  0.0000  0.2507

Values from the calculation:
Calculated volume   58.3 Å³/f.u.
Energy relative to the elements   0.386 eV per atom

Q: Which value of calculated volume does entry 8 give?
A: 57.9 Å³/f.u.